Density functional theory data (GGA-PBE) for NbBr after structural relaxation.

The total energy is -5.685 eV/atom.

abc: 5.9078 7.2836 8.0369
angles: 90.00 90.00 90.00
Space group P2_12_12_1 (No. 19)
Unique sites:
Nb  0.0664  0.1152  0.2786
Nb  0.1851  0.2016  0.9689
Br  0.1795  0.5793  0.7300
Br  0.2068  0.8518  0.0695

***

Density functional theory data (GGA-PBE) for MnZn3Ni4 after structural relaxation.

Its formation energy is -0.189 eV/atom.

abc: 4.0935 4.0935 20.0691
angles: 90.00 90.00 120.00
Space group R-3m (No. 166, hexagonal axes)
Unique sites:
Mn  0.0000  0.0000  0.0000
Zn  0.0000  0.0000  0.2514
Zn  0.0000  0.0000  0.5000
Ni  0.0000  0.0000  0.1252
Ni  0.0000  0.0000  0.3756

***

Density functional theory data (GGA-PBE) for AcErP after structural relaxation.

Its formation energy is -0.874 eV/atom.

abc: 4.0473 4.0473 41.0728
angles: 90.00 90.00 120.00
Space group R-3m (No. 166, hexagonal axes)
Unique sites:
Ac  0.0000  0.0000  0.2132
Er  0.0000  0.0000  0.3716
P  0.0000  0.0000  0.0735

***

Density functional theory data (GGA-PBE) for Zr5RhAu after structural relaxation.

Its formation energy is -0.219 eV/atom.

abc: 7.9606 7.3106 10.6441
angles: 90.00 105.59 90.00
Space group C2/c (No. 15)
Unique sites:
Zr  0.0000  0.0219  0.2500
Zr  0.1306  0.3557  0.5523
Zr  0.2294  0.2989  0.8655
Rh  0.0000  0.0000  0.0000
Au  0.0000  0.4092  0.2500

***

Values of M_tot, in order: 0.00, 0.59, 0.15, 0.00, all in μB/atom.
Values of calculated volume, in order: 21.61, 12.13, 32.37, 21.31, all in A^3/atom.